Density functional theory data (PBE) for Tb3HoEr2Tm6 after structural relaxation.

Cell and atoms, written as POSCAR:
```
Tb3HoEr2Tm6
1.0
3.0378 -5.2554 0.0000
3.0378 5.2554 0.0000
-2.0202 0.0000 11.4231
Tb Ho Er Tm
3 1 2 6
direct
0.0000 0.0000 0.0000
0.3332 0.6668 0.0000
0.6668 0.3332 0.0000
0.5000 0.5000 0.5000
0.1666 0.8334 0.5000
0.8334 0.1666 0.5000
0.0836 0.4170 0.2513
0.2496 0.2496 0.7488
0.4170 0.0836 0.2513
0.5830 0.9164 0.7487
0.7504 0.7504 0.2512
0.9164 0.5830 0.7487
```

Calculated values
total energy: -4.512 eV per atom
space-group type: C2/m, No. 12
energy of formation from the pure elements: 0.28 eV/f.u.